Run A
Entry from Alexandria via LeMat-Bulk: a geometry-optimized PuNb2Zn structure (GGA-PBE).

a b c (Å): 3.6587 4.4727 4.4727
angles (deg): 90.00 90.00 90.00
Last column: magnetic moment on the atom in μB.
Positions (direct):
Nb (0.0000, 0.5000, 0.0000)  0.00
Zn (0.5000, 0.5000, 0.5000)  -0.02
Pu (0.5000, 0.0000, 0.0000)  4.63
Nb (0.0000, 0.0000, 0.5000)  0.00

Symmetry: P4/mmm
Calculated volume: 18.30 Å³ per atom

***

Run B
Entry from Alexandria via LeMat-Bulk: a geometry-optimized PuNb2Zn structure (GGA-PBE).

a b c (Å): 2.8943 2.8943 10.7250
angles (deg): 82.25 82.25 60.00
Last column: magnetic moment on the atom in μB.
Positions (direct):
Nb (0.0927, 0.0927, 0.7219)  0.11
Zn (0.5000, 0.5000, 0.5000)  -0.01
Nb (0.9073, 0.9073, 0.2781)  0.11
Pu (0.0000, 0.0000, 0.0000)  4.73

Symmetry: R-3m
Calculated volume: 19.21 Å³ per atom

***

Need the numbers? Relative energies in eV/atom: run A 0.000; run B 0.276.

***

Run A
Entry from Alexandria via LeMat-Bulk: a geometry-optimized Pu2NbZn structure (GGA-PBE).

a b c (Å): 2.9416 2.9416 11.6314
angles (deg): 82.74 82.74 60.00
Last column: magnetic moment on the atom in μB.
Positions (direct):
Zn (0.0000, 0.0000, 0.0000)  0.01
Pu (0.0880, 0.0880, 0.7360)  4.74
Nb (0.5000, 0.5000, 0.5000)  -0.12
Pu (0.9120, 0.9120, 0.2640)  4.74

Symmetry: R-3m
Calculated volume: 21.56 Å³ per atom

***

Run B
Entry from Alexandria via LeMat-Bulk: a geometry-optimized Pu2NbZn structure (GGA-PBE).

a b c (Å): 4.6248 4.1935 4.1935
angles (deg): 90.00 90.00 90.00
Last column: magnetic moment on the atom in μB.
Positions (direct):
Pu (0.0000, 0.0000, 0.5000)  5.07
Pu (0.0000, 0.5000, 0.0000)  5.07
Nb (0.5000, 0.0000, 0.0000)  -0.55
Zn (0.5000, 0.5000, 0.5000)  -0.01

Symmetry: P4/mmm
Calculated volume: 20.33 Å³ per atom

***

Need the numbers? Relative energies in eV/atom: run A 0.298; run B 0.000.

***

Run A
Entry from Alexandria via LeMat-Bulk: a geometry-optimized PuZr2Nb structure (GGA-PBE).

a b c (Å): 3.1745 3.1745 10.3714
angles (deg): 81.20 81.20 60.00
Last column: magnetic moment on the atom in μB.
Positions (direct):
Pu (0.5000, 0.5000, 0.5000)  5.21
Nb (0.0000, 0.0000, 0.0000)  0.11
Zr (0.7459, 0.7459, 0.7623)  -0.01
Zr (0.2541, 0.2541, 0.2377)  -0.01

Symmetry: R-3m
Calculated volume: 22.27 Å³ per atom

***

Run B
Entry from Alexandria via LeMat-Bulk: a geometry-optimized PuZr2Nb structure (GGA-PBE).

a b c (Å): 3.4471 3.4471 7.5355
angles (deg): 90.00 90.00 90.00
Last column: magnetic moment on the atom in μB.
Positions (direct):
Pu (0.5000, 0.5000, 0.5000)  5.33
Zr (0.0000, 0.0000, 0.2194)  0.06
Zr (0.0000, 0.0000, 0.7806)  0.06
Nb (0.5000, 0.5000, 0.0000)  0.00

Symmetry: P4/mmm
Calculated volume: 22.38 Å³ per atom

***

Need the numbers? Relative energies in eV/atom: run A 0.074; run B 0.000.

***

Run A
Entry from Alexandria via LeMat-Bulk: a geometry-optimized PuZr2Nb structure (GGA-PBE).

a b c (Å): 3.6460 4.8876 4.8876
angles (deg): 90.00 90.00 90.00
Last column: magnetic moment on the atom in μB.
Positions (direct):
Nb (0.5000, 0.0000, 0.0000)  -0.21
Zr (0.0000, 0.5000, 0.0000)  0.19
Zr (0.0000, 0.0000, 0.5000)  0.19
Pu (0.5000, 0.5000, 0.5000)  5.28

Symmetry: P4/mmm
Calculated volume: 21.77 Å³ per atom

***

Run B
Entry from Alexandria via LeMat-Bulk: a geometry-optimized PuZr2Nb structure (GGA-PBE).

a b c (Å): 4.9747 4.9747 4.9747
angles (deg): 60.00 60.00 60.00
Last column: magnetic moment on the atom in μB.
Positions (direct):
Zr (0.2500, 0.2500, 0.2500)  0.19
Pu (0.0000, 0.0000, 0.0000)  5.29
Zr (0.7500, 0.7500, 0.7500)  0.19
Nb (0.5000, 0.5000, 0.5000)  -0.61

Symmetry: Fm-3m
Calculated volume: 21.76 Å³ per atom

***

Need the numbers? Relative energies in eV/atom: run A 0.020; run B 0.000.

***

Run A
Entry from Alexandria via LeMat-Bulk: a geometry-optimized RbNb structure (GGA-PBE).

a b c (Å): 7.4305 7.4305 7.4305
angles (deg): 90.00 90.00 90.00
Last column: magnetic moment on the atom in μB.
Positions (direct):
Rb (0.5000, 0.5000, 0.0000)  0.08
Rb (0.0000, 0.0000, 0.0000)  0.08
Rb (0.0000, 0.5000, 0.5000)  0.08
Nb (0.5000, 0.0000, 0.0000)  3.25
Rb (0.5000, 0.0000, 0.5000)  0.08
Nb (0.5000, 0.5000, 0.5000)  3.25
Nb (0.0000, 0.0000, 0.5000)  3.25
Nb (0.0000, 0.5000, 0.0000)  3.25

Symmetry: Fm-3m
Calculated volume: 51.28 Å³ per atom

***

Run B
Entry from Alexandria via LeMat-Bulk: a geometry-optimized RbNb structure (GGA-PBE).

a b c (Å): 3.1692 7.0083 19.5164
angles (deg): 90.00 90.00 90.00
Last column: magnetic moment on the atom in μB.
Positions (direct):
Rb (0.0000, 0.5000, 0.3049)  0.00
Rb (0.5000, 0.0000, 0.1951)  0.00
Rb (0.0000, 0.5000, 0.6951)  0.00
Nb (0.0000, 0.5000, 0.1058)  0.15
Nb (0.5000, 0.0000, 0.6058)  0.15
Nb (0.5000, 0.5000, 0.0000)  -0.08
Nb (0.0000, 0.0000, 0.5000)  -0.08
Nb (0.0000, 0.5000, 0.8942)  0.15
Rb (0.5000, 0.5000, 0.5000)  0.00
Nb (0.5000, 0.0000, 0.3942)  0.15
Rb (0.5000, 0.0000, 0.8049)  0.00
Rb (0.0000, 0.0000, 0.0000)  0.00

Symmetry: Immm
Calculated volume: 36.12 Å³ per atom

***

Need the numbers? Relative energies in eV/atom: run A 1.486; run B 0.000.